First-principles (PBE) data for a relaxed structure of Li3Hg6Bi2, as listed in Alexandria via LeMat-Bulk.

Structure (POSCAR):
```
Li3Hg6Bi2
1.0
3.054 -5.217 0.000
3.054 5.217 0.000
-1.808 0.000 10.414
Li Hg Bi
3 6 2
Cartesian
0.000 0.000 0.000
-0.844 0.000 7.549
5.144 0.000 2.866
1.480 2.894 8.862
2.819 2.894 1.553
0.588 0.000 5.203
3.712 0.000 5.211
1.480 -2.894 8.862
2.819 -2.894 1.553
2.148 0.000 2.525
2.152 0.000 7.889
```

## Properties
M_tot: 0.000 μB/atom
E_tot: -16.4 eV per cell
crystal system: monoclinic
theoretical density: 8.22 g cm⁻³